Record 1
A relaxed CuMoO5 crystal. Source: Alexandria via LeMat-Bulk, functional PBE+U.

```
CuMoO5
1.0
4.119 -3.324 0.000
4.119 3.324 0.000
-3.588 0.000 6.728
Cu Mo O
2 2 10
Direct
0.054 0.946 0.750
0.946 0.054 0.250
0.500 0.500 0.000
0.500 0.500 0.500
0.210 0.772 0.543
0.214 0.259 0.862
0.228 0.790 0.957
0.259 0.214 0.362
0.443 0.557 0.250
0.557 0.443 0.750
0.741 0.786 0.638
0.772 0.210 0.043
0.786 0.741 0.138
0.790 0.228 0.457
```

Results
Density in g/cm3: 4.32
D(E_F) in states/eV per atom: 0.7253
Energy in Ry per atom: -0.42985

---

Record 2
A relaxed Cu2MoO crystal. Source: Alexandria via LeMat-Bulk, functional PBE+U.

```
Cu2MoO
1.0
-3.538 3.538 2.174
3.538 -3.538 2.174
3.538 3.538 -2.174
Cu Mo O
4 2 2
Direct
0.053 0.625 0.928
0.375 0.303 0.428
0.697 0.125 0.072
0.875 0.947 0.572
0.250 0.750 0.500
0.500 0.500 0.000
0.000 0.000 0.000
0.750 0.250 0.500
```

Results
Density in g/cm3: 7.29
D(E_F) in states/eV per atom: 0.4129
Energy in Ry per atom: -0.36172

---

Record 3
A relaxed CuMoO4 crystal. Source: Alexandria via LeMat-Bulk, functional PBE+U.

```
CuMoO4
1.0
6.839 0.000 0.000
-1.560 8.385 0.000
-2.902 -1.908 9.565
Cu Mo O
6 6 24
Direct
0.039 0.121 0.260
0.247 0.699 0.907
0.451 0.288 0.514
0.549 0.712 0.486
0.753 0.301 0.093
0.961 0.879 0.740
0.012 0.735 0.393
0.301 0.424 0.153
0.491 0.958 0.750
0.509 0.042 0.250
0.699 0.576 0.847
0.988 0.265 0.607
0.001 0.915 0.318
0.050 0.279 0.133
0.071 0.435 0.743
0.157 0.285 0.497
0.243 0.568 0.047
0.244 0.852 0.779
0.280 0.746 0.501
0.342 0.167 0.318
0.342 0.934 0.088
0.431 0.529 0.330
0.434 0.103 0.649
0.471 0.315 0.093
0.529 0.685 0.907
0.566 0.897 0.351
0.569 0.471 0.670
0.658 0.066 0.912
0.658 0.833 0.682
0.720 0.254 0.499
0.756 0.148 0.221
0.757 0.432 0.953
0.843 0.715 0.503
0.929 0.565 0.257
0.950 0.721 0.867
0.999 0.085 0.682
```

Results
Density in g/cm3: 4.06
Distance to the lowest polymorph of the same formula in meV per atom: 0
D(E_F) in states/eV per atom: 0.0725

---

- Among the records above, which one has the highest density?
  Cu2MoO